(1)
# PaInHg2O6

Crystalline PaInHg2O6 at its relaxed geometry (PBE, the Alexandria database).

Cell lengths 5.8035, 5.8035, 15.1741 Å; angles 90.00, 90.00, 120.00 degrees
Space group R-3 (No. 148, hexagonal axes)
Asymmetric unit:
Pa  0.0000  0.0000  0.0000 [3 per cell]
In  0.0000  0.0000  0.5000 [3 per cell]
Hg  0.0000  0.0000  0.2424 [6 per cell]
O  0.0032  0.3871  0.7513 [18 per cell]

## Properties
total energy = -5.973 eV/atom
ΔE_f (raw) = -1.714 eV per atom
spin magnetization = 0.0 μB per cell

(2)
# InHgPb2O

Crystalline InHgPb2O at its relaxed geometry (PBE, the Alexandria database).

Cell lengths 5.811, 5.811, 5.309 Å; angles 90.00, 90.00, 90.00 degrees
Space group P4/mmm (No. 123)
Asymmetric unit:
In  0.000  0.000  0.000 [1 per cell]
Hg  0.000  0.000  0.500 [1 per cell]
Pb  0.000  0.500  0.000 [2 per cell]
O  0.500  0.500  0.500 [1 per cell]

## Properties
total energy = -2.304 eV/atom
ΔE_f (raw) = 0.779 eV per atom
spin magnetization = 0.0 μB per cell

(3)
# Pm12In4HgO3

Crystalline Pm12In4HgO3 at its relaxed geometry (PBE, the Alexandria database).

Cell lengths 10.283, 10.283, 10.283 Å; angles 90.00, 90.00, 90.00 degrees
Space group Im-3m (No. 229)
Asymmetric unit:
Pm  0.000  0.000  0.273 [12 per cell]
Pm  0.000  0.250  0.500 [12 per cell]
In  0.250  0.250  0.250 [8 per cell]
Hg  0.000  0.000  0.000 [2 per cell]
O  0.000  0.000  0.500 [6 per cell]

## Properties
total energy = -5.134 eV/atom
ΔE_f (raw) = -0.977 eV per atom
spin magnetization = 0.0 μB per cell

(4)
# PmInHgO

Crystalline PmInHgO at its relaxed geometry (PBE, the Alexandria database).

Cell lengths 4.140, 4.140, 10.979 Å; angles 90.00, 90.00, 90.00 degrees
Space group P4/nmm (No. 129, origin choice 2)
Asymmetric unit:
Pm  0.250  0.250  0.100 [2 per cell]
In  0.250  0.750  0.500 [2 per cell]
Hg  0.250  0.250  0.723 [2 per cell]
O  0.250  0.750  0.000 [2 per cell]

## Properties
total energy = -4.688 eV/atom
ΔE_f (raw) = -1.501 eV per atom
spin magnetization = 0.0 μB per cell

What did the second record say?
# InHgPb2O

Crystalline InHgPb2O at its relaxed geometry (PBE, the Alexandria database).

Cell lengths 5.811, 5.811, 5.309 Å; angles 90.00, 90.00, 90.00 degrees
Space group P4/mmm (No. 123)
Asymmetric unit:
In  0.000  0.000  0.000 [1 per cell]
Hg  0.000  0.000  0.500 [1 per cell]
Pb  0.000  0.500  0.000 [2 per cell]
O  0.500  0.500  0.500 [1 per cell]

## Properties
total energy = -2.304 eV/atom
ΔE_f (raw) = 0.779 eV per atom
spin magnetization = 0.0 μB per cell

Please write out number 3 again, unchanged.
# Pm12In4HgO3

Crystalline Pm12In4HgO3 at its relaxed geometry (PBE, the Alexandria database).

Cell lengths 10.283, 10.283, 10.283 Å; angles 90.00, 90.00, 90.00 degrees
Space group Im-3m (No. 229)
Asymmetric unit:
Pm  0.000  0.000  0.273 [12 per cell]
Pm  0.000  0.250  0.500 [12 per cell]
In  0.250  0.250  0.250 [8 per cell]
Hg  0.000  0.000  0.000 [2 per cell]
O  0.000  0.000  0.500 [6 per cell]

## Properties
total energy = -5.134 eV/atom
ΔE_f (raw) = -0.977 eV per atom
spin magnetization = 0.0 μB per cell

What is the formula in the third record? Pm12In4HgO3